Computed, not measured: a geometry-optimized Li2MnIn structure at the GGA-PBEsol level of DFT.

a b c (Å): 3.2069 4.4555 4.6374
angles (deg): 90.00 89.98 90.00
With the nearest neighbours (Å) after each atom.
Element x y z (fractional)
In1 0.1250 0.5000 0.6261  4 Mn 2.74, 4 Li 2.82
Li1 0.1250 0.0000 0.1238  4 Li 2.74, 4 Mn 2.82
Li2 0.6250 0.5000 0.1262  4 Li 2.74, 4 In 2.82
Mn1 0.6250 0.0000 0.6239  4 In 2.74, 4 Li 2.82

Properties
Fermi-level density of states = 2.38 states/eV/cell
magnetic moment = 3.30 μB per formula unit
V = 16.6 Å³ per atom
E = -0.300 Ry/atom
formation energy = 36 kJ/mol of formula units